1.
The following is a DFT calculation (GGA-PBE) of crystalline K2NaNpO6 at its relaxed geometry.

Output
raw total energy	-6.511	eV/atom
theoretical density	4.45	g/cm³
formation energy without anion corrections	-18.902	eV per formula unit

CIF file:
```
data_K2NaNpO6
_cell_length_a 8.657
_cell_length_b 8.657
_cell_length_c 8.657
_cell_angle_alpha 90.00
_cell_angle_beta 90.00
_cell_angle_gamma 90.00
_space_group_name_H-M_alt 'F m -3 m'
_space_group_IT_number 225
_space_group_name_Hall '-F 4 2 3'
loop_
_atom_site_label
_atom_site_type_symbol
_atom_site_fract_x
_atom_site_fract_y
_atom_site_fract_z
K1 K 0.250 0.250 0.250
Na1 Na 0.000 0.000 0.000
Np1 Np 0.000 0.000 0.500
O1 O 0.000 0.000 0.273
```



2.
The following is a DFT calculation (GGA-PBE) of crystalline KNaNpO4 at its relaxed geometry.

Output
raw total energy	-7.451	eV/atom
theoretical density	5.09	g/cm³
formation energy without anion corrections	-16.964	eV per formula unit

CIF file:
```
data_KNaNpO4
_cell_length_a 4.321
_cell_length_b 4.321
_cell_length_c 12.687
_cell_angle_alpha 90.00
_cell_angle_beta 90.00
_cell_angle_gamma 90.00
_space_group_name_H-M_alt 'I 4 m m'
_space_group_IT_number 107
_space_group_name_Hall 'I 4 -2'
loop_
_atom_site_label
_atom_site_type_symbol
_atom_site_fract_x
_atom_site_fract_y
_atom_site_fract_z
K1 K 0.000 0.000 0.000
Na1 Na 0.000 0.000 0.704
Np1 Np 0.000 0.000 0.350
O1 O 0.000 0.000 0.199
O2 O 0.000 0.000 0.503
O3 O 0.000 0.500 0.346
```



3.
The following is a DFT calculation (GGA-PBE) of crystalline K3NaNp2O9 at its relaxed geometry.

Output
raw total energy	-7.339	eV/atom
theoretical density	5.19	g/cm³
formation energy without anion corrections	-34.962	eV per formula unit

CIF file:
```
data_K3NaNp2O9
_cell_length_a 6.0999
_cell_length_b 6.0999
_cell_length_c 7.5310
_cell_angle_alpha 90.00
_cell_angle_beta 90.00
_cell_angle_gamma 120.00
_space_group_name_H-M_alt 'P -3 m 1'
_space_group_IT_number 164
_space_group_name_Hall '-P 3 2"'
loop_
_atom_site_label
_atom_site_type_symbol
_atom_site_fract_x
_atom_site_fract_y
_atom_site_fract_z
K1 K 0.0000 0.0000 0.0000
K2 K 0.3333 0.6667 0.6474
Na1 Na 0.0000 0.0000 0.5000
Np1 Np 0.3333 0.6667 0.1614
O1 O 0.0000 0.5000 0.0000
O2 O 0.1822 0.3644 0.3083
```



4.
The following is a DFT calculation (GGA-PBE) of crystalline K2Na2NpO4 at its relaxed geometry.

Output
raw total energy	-6.127	eV/atom
theoretical density	4.23	g/cm³
formation energy without anion corrections	-17.539	eV per formula unit

CIF file:
```
data_K2Na2NpO4
_cell_length_a 12.829
_cell_length_b 3.548
_cell_length_c 9.033
_cell_angle_alpha 90.00
_cell_angle_beta 125.66
_cell_angle_gamma 90.00
_space_group_name_H-M_alt 'C 1 2/m 1'
_space_group_IT_number 12
loop_
_space_group_symop_operation_xyz
'x,y,z'
'-x,-y,-z'
'-x,y,-z'
'x,-y,z'
'x+1/2,y+1/2,z'
'-x+1/2,-y+1/2,-z'
'-x+1/2,y+1/2,-z'
'x+1/2,-y+1/2,z'
loop_
_atom_site_label
_atom_site_type_symbol
_atom_site_fract_x
_atom_site_fract_y
_atom_site_fract_z
K1 K 0.185 0.000 0.290
Na1 Na 0.125 0.500 0.885
Np1 Np 0.000 0.000 0.500
O1 O 0.069 0.500 0.420
O2 O 0.170 0.000 0.759
```



5.
The following is a DFT calculation (GGA-PBE) of crystalline K2NaNp2O7 at its relaxed geometry.

Output
raw total energy	-7.866	eV/atom
theoretical density	5.67	g/cm³
formation energy without anion corrections	-30.291	eV per formula unit

CIF file:
```
data_K2NaNp2O7
_cell_length_a 4.284
_cell_length_b 4.284
_cell_length_c 21.945
_cell_angle_alpha 90.00
_cell_angle_beta 90.00
_cell_angle_gamma 90.00
_space_group_name_H-M_alt 'I 4/m m m'
_space_group_IT_number 139
_space_group_name_Hall '-I 4 2'
loop_
_atom_site_label
_atom_site_type_symbol
_atom_site_fract_x
_atom_site_fract_y
_atom_site_fract_z
K1 K 0.000 0.000 0.190
Na1 Na 0.000 0.000 0.000
Np1 Np 0.000 0.000 0.404
O1 O 0.000 0.000 0.315
O2 O 0.000 0.000 0.500
O3 O 0.000 0.500 0.093
```



6.
The following is a DFT calculation (GGA-PBE) of crystalline K4NaNp3S8 at its relaxed geometry.

Output
raw total energy	-6.213	eV/atom
theoretical density	4.48	g/cm³
formation energy without anion corrections	-21.862	eV per formula unit

CIF file:
```
data_K4NaNp3S8
_cell_length_a 8.2053
_cell_length_b 8.2053
_cell_length_c 21.8906
_cell_angle_alpha 90.00
_cell_angle_beta 90.00
_cell_angle_gamma 120.00
_space_group_name_H-M_alt 'R -3 m'
_space_group_IT_number 166
_space_group_name_Hall '-R 3 2"'
loop_
_atom_site_label
_atom_site_type_symbol
_atom_site_fract_x
_atom_site_fract_y
_atom_site_fract_z
K1 K 0.0000 0.0000 0.0000
K2 K 0.0000 0.5000 0.0000
Na1 Na 0.0000 0.0000 0.5000
Np1 Np 0.0000 0.5000 0.5000
S1 S 0.0000 0.0000 0.2336
S2 S 0.0202 0.5101 0.7673
```



> Which of these has the lowest raw total energy?

K2NaNp2O7